Entry 1:
# NaEu2Dy

A geometry-optimized NaEu2Dy structure (GGA-PBE, Alexandria).

extended XYZ file:
```
4
Lattice="6.1922 0.0000 0.0000 0.0000 6.1922 0.0000 0.0000 0.0000 3.8976" Properties=species:S:1:pos:R:3 pbc="T T T"
Na 0.0000 0.0000 0.0000
Eu 0.0000 3.0961 1.9488
Eu 3.0961 0.0000 1.9488
Dy 3.0961 3.0961 0.0000
```

Computed properties:
- Symmetry: P4/mmm
- E above lowest polymorph: 0.060 eV/atom
- Calculated density: 5.44 g cm⁻³
- Calculated total energy: -6.455 eV/atom
- Density of states at the Fermi level: 10.1 states/eV per cell
- Total magnetization: 14.9 Bohr magnetons per cell
- Crystal system: tetragonal
- DFT formation energy: 162 meV/atom

Entry 2:
# DyNp2CrN4

A geometry-optimized DyNp2CrN4 structure (GGA-PBE, Alexandria).

extended XYZ file:
```
16
Lattice="1.6464 -5.7056 0.0000 1.6464 5.7056 0.0000 0.0000 0.0000 11.3334" Properties=species:S:1:pos:R:3 pbc="T T T"
Dy 1.6464 4.4665 8.5001
Dy 1.6464 -4.4665 2.8334
Np 1.6464 1.5160 6.2568
Np 1.6464 1.5160 10.7434
Np 1.6464 -1.5160 0.5901
Np 1.6464 -1.5160 5.0767
Cr 1.6464 3.9321 2.8334
Cr 1.6464 -3.9321 8.5001
N 0.0000 0.0000 0.0000
N 0.0000 0.0000 5.6667
N 1.6464 2.5871 1.4123
N 1.6464 2.5871 4.2545
N 1.6464 0.5675 8.5001
N 1.6464 -0.5675 2.8334
N 1.6464 -2.5871 7.0790
N 1.6464 -2.5871 9.9212
```

Computed properties:
- Symmetry: Cmcm
- Calculated density: 11.61 g cm⁻³
- Formation energy without anion corrections: -1033 meV per atom
- Calculated total energy: -10.209 eV/atom
- Density of states at the Fermi level: 17.1 states/eV per cell
- Total magnetization: 9.3 Bohr magnetons per cell
- Crystal system: orthorhombic

Entry 3:
# SiOs2Pd

A geometry-optimized SiOs2Pd structure (GGA-PBE, Alexandria).

extended XYZ file:
```
8
Lattice="-2.7524 2.7524 5.4428 2.7524 -2.7524 5.4428 2.7524 2.7524 -5.4428" Properties=species:S:1:pos:R:3 pbc="T T T"
Si 0.0000 0.0000 0.0000
Si 0.0000 2.7524 2.7214
Os 4.1285 1.2612 -1.3607
Os 1.2612 1.3762 1.3607
Os -1.3762 1.4912 4.0821
Os 1.4912 1.3762 6.8036
Pd 2.7524 0.0000 2.7214
Pd 0.0000 0.0000 5.4428
```

Computed properties:
- Symmetry: I-42d
- Calculated density: 10.37 g cm⁻³
- Formation energy without anion corrections: 1282 meV per atom
- Calculated total energy: -6.987 eV/atom
- Density of states at the Fermi level: 7.1 states/eV per cell
- Total magnetization: 0.0 Bohr magnetons per cell
- Crystal system: tetragonal

Entry 4:
# Ba2LaHg

A geometry-optimized Ba2LaHg structure (GGA-PBE, Alexandria).

extended XYZ file:
```
4
Lattice="4.0934 0.0000 0.0000 0.0000 4.0934 0.0000 0.0000 0.0000 10.2241" Properties=species:S:1:pos:R:3 pbc="T T T"
Ba 0.0000 0.0000 2.1082
Ba 0.0000 0.0000 8.1159
La 2.0467 2.0467 5.1121
Hg 2.0467 2.0467 0.0000
```

Computed properties:
- Symmetry: P4/mmm
- Calculated density: 5.95 g cm⁻³
- Calculated total energy: -2.394 eV/atom
- Density of states at the Fermi level: 7.2 states/eV per cell
- Total magnetization: 0.0 Bohr magnetons per cell
- Crystal system: tetragonal
- DFT formation energy: -125 meV/atom

Entry 5:
# TaIr2W

A geometry-optimized TaIr2W structure (GGA-PBE, Alexandria).

extended XYZ file:
```
4
Lattice="4.6821 -1.4021 0.0000 4.6821 1.4021 0.0000 -0.8192 0.0000 4.7916" Properties=species:S:1:pos:R:3 pbc="T T T"
Ta 0.0000 0.0000 0.0000
Ir 1.7211 0.0000 3.5557
Ir 6.8238 0.0000 1.2359
W 4.2725 0.0000 2.3958
```

Computed properties:
- Symmetry: C2/m
- E above lowest polymorph: 0.269 eV/atom
- Calculated density: 19.78 g cm⁻³
- Calculated total energy: -10.821 eV/atom
- Density of states at the Fermi level: 2.7 states/eV per cell
- Total magnetization: 0.0 Bohr magnetons per cell
- Crystal system: monoclinic
- DFT formation energy: -189 meV/atom

Entry 6:
# Ac3Ga2Ru2N3

A geometry-optimized Ac3Ga2Ru2N3 structure (GGA-PBE, Alexandria).

extended XYZ file:
```
10
Lattice="-2.0236 2.0236 11.9362 2.0236 -2.0236 11.9362 2.0236 2.0236 -11.9362" Properties=species:S:1:pos:R:3 pbc="T T T"
Ac 0.0000 0.0000 0.0000
Ac 0.0000 0.0000 9.2265
Ac 0.0000 0.0000 14.6458
Ga 2.0236 0.0000 5.9681
Ga 0.0000 2.0236 5.9681
Ru 0.0000 0.0000 4.4705
Ru 0.0000 0.0000 19.4018
N 0.0000 0.0000 2.5293
N 0.0000 0.0000 11.9362
N 0.0000 0.0000 21.3430
```

Computed properties:
- Symmetry: I4/mmm
- Calculated density: 9.04 g cm⁻³
- Formation energy without anion corrections: -650 meV per atom
- Calculated total energy: -6.841 eV/atom
- Density of states at the Fermi level: 8.8 states/eV per cell
- Total magnetization: 0.0 Bohr magnetons per cell
- Crystal system: tetragonal

Entry 7:
# NaPF4

A geometry-optimized NaPF4 structure (GGA-PBE, Alexandria).

extended XYZ file:
```
12
Lattice="6.7568 0.0000 0.0000 0.0000 4.2678 0.0000 0.0000 0.0000 6.4005" Properties=species:S:1:pos:R:3 pbc="T T T"
Na 0.0000 0.0791 0.0000
Na 3.3784 4.1887 3.2003
P 0.0000 2.5584 3.6119
P 3.3784 1.7094 0.4116
F 0.0000 2.1917 5.4875
F 0.0000 3.2180 2.0110
F 1.2234 3.5958 3.9957
F 2.1550 0.6720 0.7955
F 3.3784 1.0498 5.2113
F 3.3784 2.0761 2.2872
F 4.6018 0.6720 0.7955
F 5.5334 3.5958 3.9957
```

Computed properties:
- Symmetry: Pmn2_1
- Calculated density: 2.34 g cm⁻³
- Formation energy without anion corrections: -2428 meV per atom
- Calculated total energy: -4.798 eV/atom
- Density of states at the Fermi level: 0.0 states/eV per cell
- Total magnetization: 0.0 Bohr magnetons per cell
- Crystal system: orthorhombic

Entry 8:
# Na2TlRuN

A geometry-optimized Na2TlRuN structure (GGA-PBE, Alexandria).

extended XYZ file:
```
5
Lattice="5.0204 0.0000 0.0000 0.0000 5.0204 0.0000 0.0000 0.0000 3.7793" Properties=species:S:1:pos:R:3 pbc="T T T"
Na 0.0000 2.5102 0.0000
Na 2.5102 0.0000 0.0000
Tl 0.0000 0.0000 1.8896
Ru 2.5102 2.5102 1.8896
N 2.5102 2.5102 0.0000
```

Computed properties:
- Symmetry: P4/mmm
- Calculated density: 6.37 g cm⁻³
- Formation energy without anion corrections: 95 meV per atom
- Calculated total energy: -4.426 eV/atom
- Density of states at the Fermi level: 4.5 states/eV per cell
- Total magnetization: 0.2 Bohr magnetons per cell
- Crystal system: tetragonal

Entry 9:
# HgSeBr2

A geometry-optimized HgSeBr2 structure (GGA-PBE, Alexandria).

extended XYZ file:
```
4
Lattice="2.0481 1.1825 9.9364 -2.0481 1.1825 9.9364 0.0000 -2.3649 9.9364" Properties=species:S:1:pos:R:3 pbc="T T T"
Hg 0.0000 0.0000 0.0000
Se 0.0000 0.0000 14.9046
Br 0.0000 0.0000 2.4735
Br 0.0000 0.0000 27.3356
```

Computed properties:
- Symmetry: R-3m
- E above lowest polymorph: 0.467 eV/atom
- Calculated density: 5.05 g cm⁻³
- Formation energy without anion corrections: 289 meV per atom
- Calculated total energy: -1.494 eV/atom
- Density of states at the Fermi level: 0.6 states/eV per cell
- Total magnetization: 2.0 Bohr magnetons per cell
- Crystal system: trigonal

Entry 10:
# AgAuSe2N

A geometry-optimized AgAuSe2N structure (GGA-PBE, Alexandria).

extended XYZ file:
```
5
Lattice="5.1881 0.0000 0.0000 0.0000 5.1881 0.0000 0.0000 0.0000 3.9698" Properties=species:S:1:pos:R:3 pbc="T T T"
Ag 0.0000 0.0000 0.0000
Au 2.5940 2.5940 1.9849
Se 0.0000 2.5940 0.0000
Se 2.5940 0.0000 0.0000
N 0.0000 0.0000 1.9849
```

Computed properties:
- Symmetry: P4/mmm
- E above lowest polymorph: 0.245 eV/atom
- Calculated density: 7.41 g cm⁻³
- Formation energy without anion corrections: 1301 meV per atom
- Calculated total energy: -2.983 eV/atom
- Density of states at the Fermi level: 4.5 states/eV per cell
- Total magnetization: 2.2 Bohr magnetons per cell
- Crystal system: tetragonal

Entry 11:
# MgSc3Zn7

A geometry-optimized MgSc3Zn7 structure (GGA-PBE, Alexandria).

extended XYZ file:
```
22
Lattice="1.5710 -9.7755 0.0000 1.5710 9.7755 0.0000 0.0000 0.0000 13.2422" Properties=species:S:1:pos:R:3 pbc="T T T"
Mg 1.5710 9.2214 9.9317
Mg 1.5710 -9.2214 3.3106
Sc 1.5710 7.5289 0.6364
Sc 1.5710 7.5289 5.9847
Sc 1.5710 4.7791 9.9317
Sc 1.5710 -4.7791 3.3106
Sc 1.5710 -7.5289 7.2575
Sc 1.5710 -7.5289 12.6058
Zn 1.5710 4.6638 0.9369
Zn 1.5710 4.6638 5.6842
Zn 1.5710 2.5395 2.0428
Zn 1.5710 2.5395 4.5783
Zn 1.5710 1.8724 9.9317
Zn 1.5710 0.1498 1.1808
Zn 1.5710 0.1498 5.4403
Zn 1.5710 -0.1498 7.8019
Zn 1.5710 -0.1498 12.0614
Zn 1.5710 -1.8724 3.3106
Zn 1.5710 -2.5395 8.6639
Zn 1.5710 -2.5395 11.1994
Zn 1.5710 -4.6638 7.5580
Zn 1.5710 -4.6638 12.3054
```

Computed properties:
- Symmetry: Cmcm
- Calculated density: 5.04 g cm⁻³
- Calculated total energy: -2.833 eV/atom
- Density of states at the Fermi level: 16.4 states/eV per cell
- Total magnetization: 0.0 Bohr magnetons per cell
- Crystal system: orthorhombic
- DFT formation energy: -151 meV/atom

Entry 12:
# HoPa2Os

A geometry-optimized HoPa2Os structure (GGA-PBE, Alexandria).

extended XYZ file:
```
4
Lattice="1.8110 1.0456 9.9009 -1.8110 1.0456 9.9009 0.0000 -2.0911 9.9009" Properties=species:S:1:pos:R:3 pbc="T T T"
Ho 0.0000 0.0000 0.0000
Pa 0.0000 0.0000 3.1761
Pa 0.0000 0.0000 26.5265
Os 0.0000 0.0000 14.8513
```

Computed properties:
- Symmetry: R-3m
- E above lowest polymorph: 0.331 eV/atom
- Calculated density: 12.06 g cm⁻³
- Calculated total energy: -8.366 eV/atom
- Density of states at the Fermi level: 8.6 states/eV per cell
- Total magnetization: 1.1 Bohr magnetons per cell
- Crystal system: trigonal
- DFT formation energy: 334 meV/atom